No. 1
Nd2UP3Rh4 | the Alexandria database | PBE-GGA | relaxed; symmetry = P-4m2; calculated formation energy = -0.956 eV/atom; magnetization = 0.22 μB/atom; density = 9380 kg/m³
1.0
-3.6245 1.1821 1.4227
-1.6558 -0.6784 -3.6546
-2.2334 -10.3868 2.9401
Nd U P Rh
2 1 3 4
Direct
0.5000 0.0000 0.2224 Nd
0.0000 0.5000 0.7776 Nd
0.5000 0.5000 0.5000 U
0.0000 0.0000 0.5000 P
0.5000 0.0000 0.8737 P
0.0000 0.5000 0.1263 P
0.5000 0.5000 0.0000 Rh
0.0000 0.0000 0.0000 Rh
0.5000 0.0000 0.6579 Rh
0.0000 0.5000 0.3421 Rh

No. 2
Nd3UP2Rh9 | the Alexandria database | PBE-GGA | relaxed; symmetry = P-3m1; calculated formation energy = -0.646 eV/atom; magnetization = 0.00 μB/atom; density = 9305 kg/m³
1.0
-3.3522 -0.3942 -5.0846
5.1375 -3.2517 0.5276
-4.7636 -6.9294 3.6779
Nd U P Rh
3 1 2 9
Direct
0.3333 0.6667 0.6813 Nd
0.0000 0.0000 0.0000 Nd
0.6667 0.3333 0.3187 Nd
0.0000 0.0000 0.5000 U
0.3333 0.6667 0.1568 P
0.6667 0.3333 0.8432 P
0.8470 0.1530 0.7125 Rh
0.8470 0.6939 0.7125 Rh
0.3061 0.1530 0.7125 Rh
0.6939 0.8470 0.2875 Rh
0.1530 0.3061 0.2875 Rh
0.1530 0.8470 0.2875 Rh
0.5000 0.0000 0.0000 Rh
0.0000 0.5000 0.0000 Rh
0.5000 0.5000 0.0000 Rh

No. 3
NdYP2Rh5 | the Alexandria database | PBE-GGA | relaxed; symmetry = P4/mmm; calculated formation energy = -0.757 eV/atom; magnetization = 0.00 μB/atom; density = 7596 kg/m³
1.0
4.0616 0.0000 0.0000
0.0000 4.0616 0.0000
0.0000 0.0000 10.7289
Nd Y P Rh
1 1 2 5
Direct
0.0000 0.0000 0.5000 Nd
0.0000 0.0000 0.0000 Y
0.5000 0.5000 0.2884 P
0.5000 0.5000 0.7116 P
0.0000 0.5000 0.1966 Rh
0.5000 0.0000 0.1966 Rh
0.0000 0.5000 0.8034 Rh
0.5000 0.0000 0.8034 Rh
0.5000 0.5000 0.5000 Rh

No. 4
NdZn2PRh2 | the Alexandria database | PBE-GGA | relaxed; symmetry = P4/mmm; calculated formation energy = -0.560 eV/atom; magnetization = 0.00 μB/atom; density = 7599 kg/m³
1.0
4.4661 0.0000 0.0000
0.0000 4.4661 0.0000
0.0000 0.0000 5.6075
Nd Zn P Rh
1 2 1 2
Direct
0.0000 0.0000 0.5000 Nd
0.5000 0.5000 0.7287 Zn
0.5000 0.5000 0.2713 Zn
0.0000 0.0000 0.0000 P
0.5000 0.0000 0.0000 Rh
0.0000 0.5000 0.0000 Rh

What is the magnetization in the first record? 0.22 μB/atom

What is the calculated formation energy in the fourth record? -0.560 eV/atom

The highest calculated formation energy belongs to which entry? NdZn2PRh2

Which of these has the lowest density? NdYP2Rh5